First-principles (PBE-GGA) data for a relaxed CaCdTe crystal, as listed in the Alexandria database.

Structure (CIF):
```
data_CaCdTe
_chemical_formula_sum 'Ca1 Cd1 Te1'
_symmetry_space_group_name_H-M 'P 1'
_symmetry_Int_Tables_number 1
_cell_length_a 6.1111
_cell_length_b 6.1111
_cell_length_c 6.1111
_cell_angle_alpha 141.34
_cell_angle_beta 141.34
_cell_angle_gamma 55.82
loop_
_symmetry_equiv_pos_as_xyz
'x,y,z'
loop_
_atom_site_label
_atom_site_type_symbol
_atom_site_fract_x
_atom_site_fract_y
_atom_site_fract_z
Ca1 Ca 0.0000 0.0000 0.0000
Cd1 Cd 0.3153 0.3153 0.0000
Te1 Te 0.6494 0.6494 0.0000
```

Values from the calculation:
- Spin magnetization: 0.00 Bohr magnetons per cell
- E above lowest polymorph: 119 meV/atom
- Energy relative to the elements, uncorrected: -672 meV per atom
- Space-group type: I4mm (107)
- Fermi-level density of states: 0.7 states/eV per cell